# Ca4ScPd5 (PBE, optimized geometry)
data_Ca4ScPd5
_chemical_formula_sum 'Ca4 Sc1 Pd5'
_cell_length_a 3.4631
_cell_length_b 3.4631
_cell_length_c 17.6662
_cell_angle_alpha 90.00
_cell_angle_beta 90.00
_cell_angle_gamma 90.00
_space_group_name_H-M_alt 'P 1'
_space_group_IT_number 1
loop_
_space_group_symop_operation_xyz
'x,y,z'
loop_
_atom_site_label
_atom_site_fract_x
_atom_site_fract_y
_atom_site_fract_z
Ca1 0.0000 0.0000 0.1966
Ca2 0.0000 0.0000 0.3986
Ca3 0.0000 0.0000 0.6014
Ca4 0.0000 0.0000 0.8034
Sc1 0.0000 0.0000 0.0000
Pd1 0.5000 0.5000 0.0840
Pd2 0.5000 0.5000 0.2967
Pd3 0.5000 0.5000 0.5000
Pd4 0.5000 0.5000 0.7033
Pd5 0.5000 0.5000 0.9160
# Formation energy from the elements ... -69.5 kJ per mole of atoms
# Crystal system ... tetragonal
# N(E_F) ... 4.1 states/eV/cell
# V ... 211.9 Å³ per cell
# Magnetization ... 0.000 μB/atom